1.
The following is a GGA-PBE calculation of a geometry-optimized KRb2HoI6 structure, from Alexandria via LeMat-Bulk.

Summary:
ρ: 3.887 g/cm3
total magnetic moment: 0.00 μB per atom
volume: 971 Å³ per cell
energy: -3.16 eV/atom
symmetry: P2_1/c (14)
formation energy (no corrections): -1467 meV/atom
DOS at the Fermi energy: 0.00 states/eV/f.u.

a b c (Å): 8.6139 9.1488 12.3211
angles (deg): 90.00 89.04 90.00
Fractional positions:
Ho  0.5000  0.0000  0.5000
Ho  0.0000  0.5000  0.0000
I  0.6697  0.2782  0.5643
I  0.1199  0.4622  0.7692
I  0.1697  0.2218  0.0643
I  0.3801  0.9622  0.7308
I  0.3303  0.7218  0.4357
I  0.7848  0.8201  0.5538
I  0.2848  0.6799  0.0538
I  0.2152  0.1799  0.4462
I  0.8801  0.5378  0.2308
I  0.8303  0.7782  0.9357
I  0.6199  0.0378  0.2692
I  0.7152  0.3201  0.9462
Rb  0.4675  0.4182  0.2461
Rb  0.0325  0.9182  0.2539
Rb  0.9675  0.0818  0.7461
Rb  0.5325  0.5818  0.7539
K  0.0000  0.5000  0.5000
K  0.5000  0.0000  0.0000

2.
The following is a GGA-PBE calculation of a geometry-optimized LaTb6Ho12 structure, from Alexandria via LeMat-Bulk.

Summary:
DFT formation energy: 8.2 eV/f.u.
ρ: 7.838 g/cm3
total magnetic moment: 0.00 μB per atom
volume: 651 Å³ per cell
energy: -4.18 eV/atom
symmetry: R-3m (166)
excess energy over the best structure of this formula in the dataset: 272 meV/atom
DOS at the Fermi energy: 24.43 states/eV/f.u.

a b c (Å): 9.3402 9.3402 9.3402
angles (deg): 108.41 108.41 108.41
Fractional positions:
Ho  0.1090  0.5000  0.8910
Ho  0.3761  0.3761  0.1649
Ho  0.8910  0.5000  0.1090
Ho  0.6239  0.6239  0.8351
Ho  0.5000  0.8910  0.1090
Ho  0.3761  0.1649  0.3761
Ho  0.8351  0.6239  0.6239
Ho  0.6239  0.8351  0.6239
Ho  0.1649  0.3761  0.3761
Ho  0.1090  0.8910  0.5000
Ho  0.8910  0.1090  0.5000
Ho  0.5000  0.1090  0.8910
Tb  0.7525  0.3189  0.3189
Tb  0.3189  0.3189  0.7525
Tb  0.3189  0.7525  0.3189
Tb  0.6811  0.2475  0.6811
Tb  0.6811  0.6811  0.2475
Tb  0.2475  0.6811  0.6811
La  0.0000  0.0000  0.0000

3.
The following is a GGA-PBE calculation of a geometry-optimized YCuGe structure, from Alexandria via LeMat-Bulk.

Summary:
DFT formation energy: -1.4 eV/f.u.
ρ: 6.090 g/cm3
total magnetic moment: 0.00 μB per atom
volume: 123 Å³ per cell
energy: -5.52 eV/atom
symmetry: C2/m (12)
DOS at the Fermi energy: 2.26 states/eV/f.u.

a b c (Å): 5.9684 4.2212 5.6233
angles (deg): 68.01 109.31 90.04
Fractional positions:
Ge  0.9834  0.8055  0.3704
Ge  0.3491  0.5749  0.8284
Y  0.8819  0.5249  0.9297
Y  0.4505  0.8556  0.2688
Cu  0.8183  0.2485  0.4842
Cu  0.5133  0.1323  0.7137

4.
The following is a GGA-PBE calculation of a geometry-optimized Ho4ScBi5 structure, from Alexandria via LeMat-Bulk.

Summary:
DFT formation energy: -7.9 eV/f.u.
ρ: 9.473 g/cm3
total magnetic moment: 0.00 μB per atom
volume: 307 Å³ per cell
energy: -5.20 eV/atom
symmetry: I4/m (87)
DOS at the Fermi energy: 1.82 states/eV/f.u.

a b c (Å): 6.2695 7.6646 7.6646
angles (deg): 80.37 65.86 65.86
Fractional positions:
Ho  0.4045  0.3976  0.7952
Ho  0.8021  0.7952  0.6024
Ho  0.5973  0.6024  0.2048
Ho  0.1997  0.2048  0.3976
Bi  0.0997  0.6087  0.1937
Bi  0.2934  0.8063  0.6087
Bi  0.7084  0.1937  0.3913
Bi  0.9021  0.3913  0.8063
Bi  0.5014  0.0000  0.0000
Sc  0.0015  0.0000  0.0000

5.
The following is a GGA-PBE calculation of a geometry-optimized BaTi2V structure, from Alexandria via LeMat-Bulk.

Summary:
DFT formation energy: 1.4 eV/f.u.
ρ: 4.695 g/cm3
total magnetic moment: 0.00 μB per atom
volume: 201 Å³ per cell
energy: -6.36 eV/atom
symmetry: P1 (1)
excess energy over the best structure of this formula in the dataset: 78 meV/atom
DOS at the Fermi energy: 6.44 states/eV/f.u.

a b c (Å): 3.4347 5.1418 12.1850
angles (deg): 82.17 89.28 70.53
Fractional positions:
V  0.0888  0.6664  0.2778
V  0.4637  0.9279  0.1509
Ti  0.7733  0.3052  0.1974
Ti  0.6851  0.4597  0.4275
Ti  0.1081  0.6474  0.0587
Ti  0.3957  0.0444  0.3669
Ba  0.8013  0.2440  0.8885
Ba  0.9776  0.8585  0.6218

6.
The following is a GGA-PBE calculation of a geometry-optimized CaAl2Ni structure, from Alexandria via LeMat-Bulk.

Summary:
DFT formation energy: -0.4 eV/f.u.
ρ: 3.512 g/cm3
total magnetic moment: 0.00 μB per atom
volume: 72 Å³ per cell
energy: -3.93 eV/atom
symmetry: Imm2 (44)
DOS at the Fermi energy: 1.71 states/eV/f.u.

a b c (Å): 4.6696 4.6697 4.6726
angles (deg): 122.47 116.87 90.60
Fractional positions:
Al  0.7806  0.2806  0.5000
Al  0.0215  0.0215  0.0000
Ca  0.5007  0.5007  0.0000
Ni  0.1972  0.6972  0.5000

Among the records above, which one has the highest energy? KRb2HoI6